Entry 1:
Density functional theory data (GGA-PBE) for an optimized crystal structure of LiErTlBr5.

Summary:
N(E_F): 0.00 states/eV per cell
Total energy: -0.1352 Ha/atom
Space group: C2/c, No. 15
Energy relative to the elements, uncorrected: -12.23 eV per formula unit

Lattice parameters (Å, degrees): 7.836 7.836 10.474 103.38 103.38 107.78
Fractional positions:
Li  0.192  0.808  0.750
Li  0.808  0.192  0.250
Er  0.500  0.500  0.000
Er  0.500  0.500  0.500
Tl  0.144  0.856  0.250
Tl  0.856  0.144  0.750
Br  0.126  0.257  0.432
Br  0.190  0.585  0.891
Br  0.257  0.126  0.932
Br  0.415  0.810  0.609
Br  0.420  0.580  0.250
Br  0.580  0.420  0.750
Br  0.585  0.190  0.391
Br  0.743  0.874  0.068
Br  0.810  0.415  0.109
Br  0.874  0.743  0.568

Entry 2:
Density functional theory data (GGA-PBE) for an optimized crystal structure of Zn2CdPt.

Summary:
N(E_F): 1.44 states/eV per cell
Total energy: -0.0957 Ha/atom
Calculated formation energy: -0.229 eV per atom
Space group: C2/m, No. 12

Lattice parameters (Å, degrees): 4.776 4.776 5.092 99.95 99.95 35.21
Fractional positions:
Zn  0.241  0.241  0.222
Zn  0.759  0.759  0.778
Cd  0.000  0.000  0.500
Pt  0.500  0.500  0.000

Entry 3:
Density functional theory data (GGA-PBE) for an optimized crystal structure of DyScGaOs.

Summary:
N(E_F): 2.85 states/eV per cell
Total energy: -0.2463 Ha/atom
Calculated formation energy: -0.404 eV per atom
Space group: F-43m, No. 216

Lattice parameters (Å, degrees): 4.785 4.785 4.785 60.00 60.00 60.00
Fractional positions:
Dy  0.000  0.000  0.000
Sc  0.500  0.500  0.500
Ga  0.250  0.250  0.250
Os  0.750  0.750  0.750

Entry 4:
Density functional theory data (GGA-PBE) for an optimized crystal structure of Er4ZnBi2.

Summary:
N(E_F): 5.39 states/eV per cell
Total energy: -0.1565 Ha/atom
Calculated formation energy: -0.360 eV per atom
Space group: C2/m, No. 12

Lattice parameters (Å, degrees): 7.917 7.917 7.467 117.16 117.16 30.80
Fractional positions:
Er  0.109  0.109  0.252
Er  0.390  0.390  0.182
Er  0.610  0.610  0.818
Er  0.891  0.891  0.748
Zn  0.000  0.000  0.500
Bi  0.237  0.237  0.726
Bi  0.763  0.763  0.274

> What is the N(E_F) in the third record?

2.85 states/eV per cell

> The highest total energy belongs to which entry?

Zn2CdPt